(1)
# KPm4SmS8 PBE optimized geometry
data_KPm4SmS8
_chemical_formula_sum 'K1 Pm4 Sm1 S8'
_symmetry_space_group_name_H-M 'P 1'
_symmetry_Int_Tables_number 1
_cell_length_a 8.427
_cell_length_b 8.427
_cell_length_c 8.413
_cell_angle_alpha 59.95
_cell_angle_beta 59.95
_cell_angle_gamma 60.00
loop_
_symmetry_equiv_pos_as_xyz
'x,y,z'
loop_
_atom_site_label
_atom_site_type_symbol
_atom_site_fract_x
_atom_site_fract_y
_atom_site_fract_z
K1 K 0.375 0.375 0.874
Pm1 Pm 0.625 0.625 0.125
Pm2 Pm 0.004 0.488 0.504
Pm3 Pm 0.488 0.004 0.504
Pm4 Pm 0.004 0.004 0.504
Sm1 Sm 0.004 0.004 0.987
S1 S 0.233 0.798 0.735
S2 S 0.798 0.233 0.735
S3 S 0.233 0.233 0.735
S4 S 0.234 0.234 0.298
S5 S 0.758 0.227 0.256
S6 S 0.227 0.758 0.256
S7 S 0.758 0.758 0.256
S8 S 0.757 0.757 0.728
# raw formation energy = -1917.6 meV/atom
# total energy = -0.22229 Ha/atom

=====

(2)
# K3Pm2SmS6 PBE optimized geometry
data_K3Pm2SmS6
_chemical_formula_sum 'K3 Pm2 Sm1 S6'
_symmetry_space_group_name_H-M 'P 1'
_symmetry_Int_Tables_number 1
_cell_length_a 7.202
_cell_length_b 7.202
_cell_length_c 7.773
_cell_angle_alpha 98.88
_cell_angle_beta 98.88
_cell_angle_gamma 120.00
loop_
_symmetry_equiv_pos_as_xyz
'x,y,z'
loop_
_atom_site_label
_atom_site_type_symbol
_atom_site_fract_x
_atom_site_fract_y
_atom_site_fract_z
K1 K 0.167 0.833 0.500
K2 K 0.833 0.167 0.500
K3 K 0.500 0.500 0.500
Pm1 Pm 0.333 0.667 0.000
Pm2 Pm 0.667 0.333 0.000
Sm1 Sm 0.000 0.000 0.000
S1 S 0.931 0.599 0.794
S2 S 0.737 0.737 0.206
S3 S 0.069 0.401 0.206
S4 S 0.599 0.931 0.794
S5 S 0.263 0.263 0.794
S6 S 0.401 0.069 0.206
# raw formation energy = -1864.1 meV/atom
# total energy = -0.19798 Ha/atom

=====

(3)
# KPmSm2S4 PBE optimized geometry
data_KPmSm2S4
_chemical_formula_sum 'K1 Pm1 Sm2 S4'
_symmetry_space_group_name_H-M 'P 1'
_symmetry_Int_Tables_number 1
_cell_length_a 4.046
_cell_length_b 7.137
_cell_length_c 7.127
_cell_angle_alpha 71.29
_cell_angle_beta 90.00
_cell_angle_gamma 90.00
loop_
_symmetry_equiv_pos_as_xyz
'x,y,z'
loop_
_atom_site_label
_atom_site_type_symbol
_atom_site_fract_x
_atom_site_fract_y
_atom_site_fract_z
K1 K 0.000 0.500 0.500
Pm1 Pm 0.500 0.500 0.000
Sm1 Sm 0.000 0.000 0.000
Sm2 Sm 0.500 0.000 0.500
S1 S 0.000 0.758 0.755
S2 S 0.000 0.242 0.245
S3 S 0.500 0.768 0.234
S4 S 0.500 0.232 0.766
# raw formation energy = -1897.5 meV/atom
# total energy = -0.21579 Ha/atom

=====

(4)
# K4Pm3SnS8 PBE optimized geometry
data_K4Pm3SnS8
_chemical_formula_sum 'K4 Pm3 Sn1 S8'
_symmetry_space_group_name_H-M 'P 1'
_symmetry_Int_Tables_number 1
_cell_length_a 8.284
_cell_length_b 8.795
_cell_length_c 8.285
_cell_angle_alpha 118.11
_cell_angle_beta 120.00
_cell_angle_gamma 90.00
loop_
_symmetry_equiv_pos_as_xyz
'x,y,z'
loop_
_atom_site_label
_atom_site_type_symbol
_atom_site_fract_x
_atom_site_fract_y
_atom_site_fract_z
K1 K 0.500 0.000 0.000
K2 K 0.500 0.000 0.500
K3 K 0.000 0.000 0.000
K4 K 0.000 0.000 0.500
Pm1 Pm 0.500 0.500 0.000
Pm2 Pm 0.500 0.500 0.500
Pm3 Pm 0.000 0.500 0.500
Sn1 Sn 0.000 0.500 0.000
S1 S 0.232 0.704 0.972
S2 S 0.232 0.704 0.464
S3 S 0.264 0.293 0.528
S4 S 0.740 0.704 0.972
S5 S 0.260 0.296 0.028
S6 S 0.736 0.707 0.472
S7 S 0.768 0.296 0.536
S8 S 0.768 0.296 0.028
# raw formation energy = -1572.5 meV/atom
# total energy = -0.18564 Ha/atom

=====

Which formula does entry 1 have? KPm4SmS8

=====

What is the formula in the third record? KPmSm2S4